DFT (GGA-PBE) results for ZnSiPb2 after structural relaxation.

Lattice parameters (Å, degrees): 6.524 6.524 7.537 64.35 64.35 90.00
Fractional positions:
1 Pb 0.617 0.125 0.250
2 Pb 0.133 0.625 0.250
3 Pb 0.375 0.383 0.750
4 Pb 0.875 0.867 0.750
5 Zn 0.000 0.000 0.000
6 Zn 0.750 0.250 0.500
7 Si 0.500 0.500 0.000
8 Si 0.250 0.750 0.500

## Properties
As for the raw formation energy: 0.435 eV/atom. For the final energy, the calculation gives -24.74 eV for the cell shown. The energy above the most stable polymorph in this dataset comes out at 0.209 eV/atom. The total moment comes out at 0.000 μB/atom.

=====

DFT (GGA-PBE) results for Ac2InAsPt6 after structural relaxation.

Lattice parameters (Å, degrees): 7.214 6.657 6.659 49.96 78.43 97.39
Fractional positions:
1 Ac 0.288 0.751 0.463
2 Ac 0.712 0.249 0.537
3 In 0.500 0.500 0.000
4 As 0.000 0.000 0.000
5 Pt 0.236 0.748 0.004
6 Pt 0.895 0.749 0.855
7 Pt 0.235 0.241 0.511
8 Pt 0.764 0.252 0.996
9 Pt 0.105 0.251 0.145
10 Pt 0.765 0.759 0.489

## Properties
Its energy of formation is -757.5 kJ/mol of formula units. For the final energy, the calculation gives -59.70 eV for the cell shown. The total moment comes out at 0.000 μB/atom.

=====

DFT (GGA-PBE) results for GaIrRu after structural relaxation.

Lattice parameters (Å, degrees): 2.780 2.780 5.910 103.60 103.60 90.00
Fractional positions:
1 Ru 0.665 0.665 0.330
2 Ir 0.003 0.003 0.006
3 Ga 0.332 0.332 0.664

## Properties
Its energy of formation is -42.3 kJ/mol of formula units. For the final energy, the calculation gives -21.60 eV for the cell shown. The energy above the most stable polymorph in this dataset comes out at 0.000 eV/atom. The total moment comes out at 0.000 μB/atom.

=====

Question: Which of these has the highest final energy?
Answer: GaIrRu

=====

Question: Among the records above, which one has the highest final energy?
Answer: GaIrRu

=====

Question: Which formula does entry 3 have?
Answer: GaIrRu